No. 1
Here is a geometry-optimized Sc2Ga5Tc2Ag structure from Alexandria via LeMat-Bulk. Energies are from PBE.

## Properties
* density of states at the Fermi level: 15.187 states/eV per cell
* SG: P4/mbm
* total magnetization: 0.00 μB/f.u.
* formation enthalpy at 0 K: -0.164 eV per atom

Cell and atoms, written as CIF:
```
data_Sc2Ga5Tc2Ag
_symmetry_space_group_name_H-M 'P 1'
_symmetry_Int_Tables_number 1
_symmetry_space_group_name_Hall 'P 1'
_cell_length_a 9.954
_cell_length_b 9.954
_cell_length_c 3.574
_cell_angle_alpha 90.00
_cell_angle_beta 90.00
_cell_angle_gamma 90.00
loop_
_atom_site_label
_atom_site_fract_x
_atom_site_fract_y
_atom_site_fract_z
Sc1 0.186 0.314 0.000
Sc2 0.314 0.814 0.000
Sc3 0.686 0.186 0.000
Sc4 0.814 0.686 0.000
Ga1 0.000 0.500 0.500
Ga2 0.051 0.798 0.500
Ga3 0.202 0.051 0.500
Ga4 0.298 0.551 0.500
Ga5 0.449 0.298 0.500
Ga6 0.500 0.000 0.500
Ga7 0.551 0.702 0.500
Ga8 0.702 0.449 0.500
Ga9 0.798 0.949 0.500
Ga10 0.949 0.202 0.500
Tc1 0.124 0.624 0.000
Tc2 0.376 0.124 0.000
Tc3 0.624 0.876 0.000
Tc4 0.876 0.376 0.000
Ag1 0.000 0.000 0.000
Ag2 0.500 0.500 0.000
```

---

No. 2
Here is a geometry-optimized HfMoRu structure from Alexandria via LeMat-Bulk. Energies are from PBE.

## Properties
* density of states at the Fermi level: 9.198 states/eV per cell
* SG: C2/m
* total magnetization: 0.00 μB/f.u.
* formation enthalpy at 0 K: -0.163 eV per atom

Cell and atoms, written as CIF:
```
data_HfMoRu
_symmetry_space_group_name_H-M 'P 1'
_symmetry_Int_Tables_number 1
_symmetry_space_group_name_Hall 'P 1'
_cell_length_a 9.826
_cell_length_b 4.303
_cell_length_c 6.480
_cell_angle_alpha 90.00
_cell_angle_beta 128.89
_cell_angle_gamma 90.00
loop_
_atom_site_label
_atom_site_fract_x
_atom_site_fract_y
_atom_site_fract_z
Hf1 0.059 0.000 0.308
Hf2 0.441 0.500 0.692
Hf3 0.559 0.500 0.308
Hf4 0.941 0.000 0.692
Mo1 0.158 0.500 0.073
Mo2 0.342 0.000 0.927
Mo3 0.658 0.000 0.073
Mo4 0.842 0.500 0.927
Ru1 0.169 0.500 0.698
Ru2 0.331 0.000 0.302
Ru3 0.669 0.000 0.698
Ru4 0.831 0.500 0.302
```

---

No. 3
Here is a geometry-optimized Pa2MoOs structure from Alexandria via LeMat-Bulk. Energies are from PBE.

## Properties
* density of states at the Fermi level: 20.612 states/eV per cell
* SG: Fm-3m
* total magnetization: 0.00 μB/f.u.
* formation enthalpy at 0 K: -0.030 eV per atom

Cell and atoms, written as CIF:
```
data_Pa2MoOs
_symmetry_space_group_name_H-M 'P 1'
_symmetry_Int_Tables_number 1
_symmetry_space_group_name_Hall 'P 1'
_cell_length_a 6.921
_cell_length_b 6.921
_cell_length_c 6.921
_cell_angle_alpha 90.00
_cell_angle_beta 90.00
_cell_angle_gamma 90.00
loop_
_atom_site_label
_atom_site_fract_x
_atom_site_fract_y
_atom_site_fract_z
Pa1 0.250 0.250 0.250
Pa2 0.250 0.250 0.750
Pa3 0.250 0.750 0.250
Pa4 0.250 0.750 0.750
Pa5 0.750 0.250 0.250
Pa6 0.750 0.250 0.750
Pa7 0.750 0.750 0.250
Pa8 0.750 0.750 0.750
Mo1 0.000 0.000 0.000
Mo2 0.000 0.500 0.500
Mo3 0.500 0.000 0.500
Mo4 0.500 0.500 0.000
Os1 0.000 0.000 0.500
Os2 0.000 0.500 0.000
Os3 0.500 0.000 0.000
Os4 0.500 0.500 0.500
```

---

No. 4
Here is a geometry-optimized Ba3Li9Hg2 structure from Alexandria via LeMat-Bulk. Energies are from PBE.

## Properties
* density of states at the Fermi level: 6.623 states/eV per cell
* SG: Immm
* total magnetization: 0.00 μB/f.u.
* formation enthalpy at 0 K: -0.131 eV per atom

Cell and atoms, written as CIF:
```
data_Ba3Li9Hg2
_symmetry_space_group_name_H-M 'P 1'
_symmetry_Int_Tables_number 1
_symmetry_space_group_name_Hall 'P 1'
_cell_length_a 9.469
_cell_length_b 9.469
_cell_length_c 9.469
_cell_angle_alpha 149.66
_cell_angle_beta 107.22
_cell_angle_gamma 80.84
loop_
_atom_site_label
_atom_site_fract_x
_atom_site_fract_y
_atom_site_fract_z
Ba1 0.000 0.000 0.000
Ba2 0.318 0.318 0.000
Ba3 0.682 0.682 0.000
Li1 0.013 0.683 0.330
Li2 0.175 0.895 0.280
Li3 0.353 0.683 0.670
Li4 0.385 0.105 0.280
Li5 0.500 0.000 0.500
Li6 0.615 0.895 0.720
Li7 0.647 0.317 0.330
Li8 0.825 0.105 0.720
Li9 0.987 0.317 0.670
Hg1 0.277 0.500 0.777
Hg2 0.723 0.500 0.223
```

---

Which formula does entry 3 have?
Pa2MoOs

---

Repeat the third record exactly.
Here is a geometry-optimized Pa2MoOs structure from Alexandria via LeMat-Bulk. Energies are from PBE.

## Properties
* density of states at the Fermi level: 20.612 states/eV per cell
* SG: Fm-3m
* total magnetization: 0.00 μB/f.u.
* formation enthalpy at 0 K: -0.030 eV per atom

Cell and atoms, written as CIF:
```
data_Pa2MoOs
_symmetry_space_group_name_H-M 'P 1'
_symmetry_Int_Tables_number 1
_symmetry_space_group_name_Hall 'P 1'
_cell_length_a 6.921
_cell_length_b 6.921
_cell_length_c 6.921
_cell_angle_alpha 90.00
_cell_angle_beta 90.00
_cell_angle_gamma 90.00
loop_
_atom_site_label
_atom_site_fract_x
_atom_site_fract_y
_atom_site_fract_z
Pa1 0.250 0.250 0.250
Pa2 0.250 0.250 0.750
Pa3 0.250 0.750 0.250
Pa4 0.250 0.750 0.750
Pa5 0.750 0.250 0.250
Pa6 0.750 0.250 0.750
Pa7 0.750 0.750 0.250
Pa8 0.750 0.750 0.750
Mo1 0.000 0.000 0.000
Mo2 0.000 0.500 0.500
Mo3 0.500 0.000 0.500
Mo4 0.500 0.500 0.000
Os1 0.000 0.000 0.500
Os2 0.000 0.500 0.000
Os3 0.500 0.000 0.000
Os4 0.500 0.500 0.500
```

---

Look up the total magnetization of the fourth one.
0.00 μB/f.u.